No. 1
Below is a relaxed structure of Co3CuNi9, with properties calculated at the GGA-PBE level.

Cell lengths 4.562, 9.005, 8.982 Å; angles 125.42, 66.58, 66.32 degrees
Last column: magnetic moment on the atom in μB.
Sites, in units of the cell vectors:
1 Ni 0.097 0.481 0.482  0.57
2 Ni 0.676 0.428 0.165  0.63
3 Ni 0.556 0.097 0.942  0.60
4 Ni 0.676 0.169 0.433  0.62
5 Ni 0.503 0.810 0.551  0.62
6 Ni 0.788 0.985 0.554  0.70
7 Ni 0.787 0.554 0.987  0.70
8 Ni 0.498 0.557 0.815  0.62
9 Ni 0.562 0.938 0.093  0.60
10 Co 0.543 0.514 0.514  1.67
11 Co 0.355 0.016 0.456  1.74
12 Co 0.356 0.455 0.014  1.73
13 Cu 0.103 0.995 0.995  0.06

Output
ρ = 8.65 g cm⁻³
total magnetization = 10.45 μB per cell
N(E_F) = 18.3 states/eV per cell
energy of formation from the pure elements = 0.172 eV per atom
SG = P1, No. 1

***

No. 2
Below is a relaxed structure of CoCuNi, with properties calculated at the GGA-PBE level.

Cell lengths 4.013, 4.013, 2.437 Å; angles 90.00, 90.00, 120.00 degrees
Last column: magnetic moment on the atom in μB.
Sites, in units of the cell vectors:
1 Co 0.000 0.000 0.989  1.76
2 Ni 0.333 0.667 0.658  0.56
3 Cu 0.667 0.333 0.353  0.04

Output
relative energy among the computed polymorphs = 139 meV/atom
ρ = 8.85 g cm⁻³
total magnetization = 2.28 μB per cell
N(E_F) = 3.5 states/eV per cell
energy of formation from the pure elements = 0.151 eV per atom
SG = P3m1, No. 156

***

No. 3
Below is a relaxed structure of CoCu2Ni, with properties calculated at the GGA-PBE level.

Cell lengths 4.842, 4.842, 4.842 Å; angles 148.47, 128.52, 61.63 degrees
Last column: magnetic moment on the atom in μB.
Sites, in units of the cell vectors:
1 Cu 0.748 0.248 0.500  0.04
2 Cu 0.001 0.001 0.000  0.01
3 Ni 0.496 0.496 0.000  0.51
4 Co 0.256 0.756 0.500  1.64

Output
ρ = 8.83 g cm⁻³
total magnetization = 2.09 μB per cell
N(E_F) = 4.7 states/eV per cell
energy of formation from the pure elements = 0.157 eV per atom
SG = Imm2, No. 44

***

No. 4
Below is a relaxed structure of CoCuNi6, with properties calculated at the GGA-PBE level.

Cell lengths 3.534, 3.534, 7.056 Å; angles 90.00, 90.00, 90.00 degrees
Last column: magnetic moment on the atom in μB.
Sites, in units of the cell vectors:
1 Ni 0.500 0.500 0.500  0.74
2 Ni 0.000 0.500 0.746  0.69
3 Ni 0.500 0.000 0.254  0.69
4 Ni 0.500 0.000 0.746  0.69
5 Ni 0.000 0.500 0.254  0.69
6 Ni 0.500 0.500 0.000  0.62
7 Cu 0.000 0.000 0.000  0.03
8 Co 0.000 0.000 0.500  1.83

Output
ρ = 8.95 g cm⁻³
total magnetization = 5.72 μB per cell
N(E_F) = 9.4 states/eV per cell
energy of formation from the pure elements = 0.011 eV per atom
SG = P4/mmm, No. 123